[1]
Below is a geometry-optimized SmErS2F2 structure, with properties calculated at the PBE level.

## Properties
The volume is 97 Å³ per cell. As for the calculated total energy: -6.536 eV/atom. As for the space group: No. 99. The calculation puts the magnetic moment at 0.00 μB/f.u.

Unit cell a=3.777 b=3.777 c=6.809 alpha=90.00 beta=90.00 gamma=90.00
Atoms (fractional coordinates):
Er (0.500, 0.500, 0.770)
F (0.500, 0.000, 0.995)
F (0.000, 0.500, 0.995)
S (0.500, 0.500, 0.363)
S (0.000, 0.000, 0.649)
Sm (0.000, 0.000, 0.228)

[2]
Below is a geometry-optimized TbErS2F2 structure, with properties calculated at the PBE level.

## Properties
The volume is 95 Å³ per cell. As for the calculated total energy: -6.531 eV/atom. As for the space group: No. 99. The calculation puts the magnetic moment at 0.00 μB/f.u.

Unit cell a=3.740 b=3.740 c=6.775 alpha=90.00 beta=90.00 gamma=90.00
Atoms (fractional coordinates):
Er (0.500, 0.500, 0.771)
F (0.500, 0.000, 0.998)
F (0.000, 0.500, 0.998)
S (0.500, 0.500, 0.360)
S (0.000, 0.000, 0.645)
Tb (0.000, 0.000, 0.228)

[3]
Below is a geometry-optimized YErS2F2 structure, with properties calculated at the PBE level.

## Properties
The volume is 95 Å³ per cell. As for the calculated total energy: -6.825 eV/atom. As for the space group: No. 99. The calculation puts the magnetic moment at 0.00 μB/f.u.

Unit cell a=3.735 b=3.735 c=6.779 alpha=90.00 beta=90.00 gamma=90.00
Atoms (fractional coordinates):
Er (0.000, 0.000, 0.772)
F (0.500, 0.000, 0.997)
F (0.000, 0.500, 0.997)
S (0.000, 0.000, 0.360)
S (0.500, 0.500, 0.644)
Y (0.500, 0.500, 0.229)

[4]
Below is a geometry-optimized TbErSe2F2 structure, with properties calculated at the PBE level.

## Properties
The volume is 103 Å³ per cell. As for the calculated total energy: -6.169 eV/atom. As for the space group: No. 99. The calculation puts the magnetic moment at 0.00 μB/f.u.

Unit cell a=3.836 b=3.836 c=7.008 alpha=90.00 beta=90.00 gamma=90.00
Atoms (fractional coordinates):
Er (0.500, 0.500, 0.784)
F (0.500, 0.000, 0.998)
F (0.000, 0.500, 0.998)
Se (0.500, 0.500, 0.362)
Se (0.000, 0.000, 0.643)
Tb (0.000, 0.000, 0.216)

Repeat the fourth record exactly.
Below is a geometry-optimized TbErSe2F2 structure, with properties calculated at the PBE level.

## Properties
The volume is 103 Å³ per cell. As for the calculated total energy: -6.169 eV/atom. As for the space group: No. 99. The calculation puts the magnetic moment at 0.00 μB/f.u.

Unit cell a=3.836 b=3.836 c=7.008 alpha=90.00 beta=90.00 gamma=90.00
Atoms (fractional coordinates):
Er (0.500, 0.500, 0.784)
F (0.500, 0.000, 0.998)
F (0.000, 0.500, 0.998)
Se (0.500, 0.500, 0.362)
Se (0.000, 0.000, 0.643)
Tb (0.000, 0.000, 0.216)

> Which value of magnetic moment does entry 3 give?

0.00 μB/f.u.